Model a:
## HfCo3Ge (PBE)

Data for a relaxed HfCo3Ge crystal.

## Properties
The space group is Imma (74).

Unit cell a=5.8585 b=5.8585 c=5.8585 alpha=130.73 beta=108.93 gamma=91.32
Closest atoms and distances in Å follow each position.
Element x y z (fractional)
Hf 0.2566 0.0066 0.2500  5 Co 2.56-2.71
Hf 0.7434 0.9934 0.7500  5 Co 2.56-2.71
Co 0.0557 0.3057 0.7500  2 Ge 2.33, 6 Co 2.42-2.61, 1 Hf 2.56
Co 0.2986 0.0000 0.7986  2 Ge 2.41, 4 Co 2.42-2.44
Co 0.2986 0.5000 0.2986  2 Ge 2.41, 4 Co 2.42-2.44
Co 0.7014 0.0000 0.2014  2 Ge 2.41, 4 Co 2.42-2.44
Co 0.7014 0.5000 0.7014  2 Ge 2.41, 4 Co 2.42-2.44
Co 0.9443 0.6943 0.2500  2 Ge 2.33, 6 Co 2.42-2.61, 1 Hf 2.56
Ge 0.0000 0.5000 0.5000  6 Co 2.33-2.41
Ge 0.5000 0.5000 0.0000  6 Co 2.33-2.41


Model b:
## HfCo3Ge (PBE)

Data for a relaxed HfCo3Ge crystal.

## Properties
The space group is Pm-3m (221).

Unit cell a=4.2612 b=4.2612 c=4.2612 alpha=90.00 beta=90.00 gamma=90.00
Closest atoms and distances in Å follow each position.
Element x y z (fractional)
Hf 0.0000 0.0000 0.0000  12 Co 3.01
Co 0.0000 0.5000 0.5000  2 Ge 2.13
Co 0.5000 0.0000 0.5000  2 Ge 2.13
Co 0.5000 0.5000 0.0000  2 Ge 2.13
Ge 0.5000 0.5000 0.5000  6 Co 2.13


Model c:
## HfCo3Ge (PBE)

Data for a relaxed HfCo3Ge crystal.

## Properties
The space group is Pm-3m (221).

Unit cell a=4.5463 b=4.5463 c=4.5463 alpha=90.00 beta=90.00 gamma=90.00
Closest atoms and distances in Å follow each position.
Element x y z (fractional)
Hf 0.0000 0.0000 0.0000  6 Co 2.27
Co 0.0000 0.0000 0.5000  2 Hf 2.27
Co 0.0000 0.5000 0.0000  2 Hf 2.27
Co 0.5000 0.0000 0.0000  2 Hf 2.27
Ge 0.5000 0.5000 0.5000  12 Co 3.21


Q: Which of them is the least stable? A: model c.


Model a:
## Hf3CoGe (PBE)

Data for a relaxed Hf3CoGe crystal.

## Properties
The space group is Pm-3m (221).

Unit cell a=4.7371 b=4.7371 c=4.7371 alpha=90.00 beta=90.00 gamma=90.00
Closest atoms and distances in Å follow each position.
Element x y z (fractional)
Hf 0.0000 0.0000 0.5000  2 Co 2.37
Hf 0.0000 0.5000 0.0000  2 Co 2.37
Hf 0.5000 0.0000 0.0000  2 Co 2.37
Co 0.0000 0.0000 0.0000  6 Hf 2.37
Ge 0.5000 0.5000 0.5000  12 Hf 3.35


Model b:
## Hf3CoGe (PBE)

Data for a relaxed Hf3CoGe crystal.

## Properties
The space group is C2/m (12).

Unit cell a=7.3944 b=7.3944 c=7.5527 alpha=91.52 beta=91.52 gamma=26.97
Closest atoms and distances in Å follow each position.
Element x y z (fractional)
Hf 0.0604 0.0604 0.3176  4 Co 2.57-2.85, 1 Ge 2.76
Hf 0.2170 0.2170 0.6579  2 Co 2.65, 2 Ge 2.79
Hf 0.4118 0.4118 0.0933  1 Co 2.56, 2 Ge 2.76
Hf 0.5882 0.5882 0.9067  1 Co 2.56, 2 Ge 2.76
Hf 0.7830 0.7830 0.3421  2 Co 2.65, 2 Ge 2.79
Hf 0.9396 0.9396 0.6824  4 Co 2.57-2.85, 1 Ge 2.76
Co 0.4163 0.4163 0.4321  7 Hf 2.56-2.85, 1 Co 2.59
Co 0.5837 0.5837 0.5679  7 Hf 2.56-2.85, 1 Co 2.59
Ge 0.2063 0.2063 0.0877  2 Ge 2.53, 5 Hf 2.76-2.79
Ge 0.7937 0.7937 0.9123  2 Ge 2.53, 5 Hf 2.76-2.79


Q: Which of them is the least stable? A: model a.


Model a:
## HfCo4Ge2 (PBE)

Data for a relaxed HfCo4Ge2 crystal.

## Properties
The space group is I4/mmm (139).

Unit cell a=5.7891 b=5.7891 c=5.7891 alpha=133.98 beta=133.98 gamma=67.13
Closest atoms and distances in Å follow each position.
Element x y z (fractional)
Hf 0.0000 0.0000 0.0000  4 Co 2.26
Co 0.0000 0.5000 0.5000  2 Hf 2.26, 2 Co 2.41
Co 0.2500 0.7500 0.5000  2 Co 2.41, 4 Ge 2.49
Co 0.5000 0.0000 0.5000  2 Hf 2.26, 2 Co 2.41
Co 0.7500 0.2500 0.5000  2 Co 2.41, 4 Ge 2.49
Ge 0.3567 0.3567 0.0000  8 Co 2.49-2.65, 1 Ge 2.76
Ge 0.6433 0.6433 0.0000  8 Co 2.49-2.65, 1 Ge 2.76


Model b:
## HfCo4Ge2 (PBE)

Data for a relaxed HfCo4Ge2 crystal.

## Properties
The space group is P4_2/mnm (136).

Unit cell a=7.0438 b=7.0438 c=3.7205 alpha=90.00 beta=90.00 gamma=90.00
Closest atoms and distances in Å follow each position.
Element x y z (fractional)
Hf 0.0000 0.0000 0.0000  6 Ge 2.81-2.86, 4 Co 3.09
Hf 0.5000 0.5000 0.5000  6 Ge 2.81-2.86, 4 Co 3.09
Co 0.0872 0.3516 0.5000  3 Ge 2.35-2.36, 5 Co 2.43-2.53
Co 0.1484 0.5872 0.0000  3 Ge 2.35-2.36, 5 Co 2.43-2.53
Co 0.3516 0.0872 0.5000  3 Ge 2.35-2.36, 5 Co 2.43-2.53
Co 0.4128 0.8516 0.0000  3 Ge 2.35-2.36, 5 Co 2.43-2.53
Co 0.5872 0.1484 0.0000  3 Ge 2.35-2.36, 5 Co 2.43-2.53
Co 0.6484 0.9128 0.5000  3 Ge 2.35-2.36, 5 Co 2.43-2.53
Co 0.8516 0.4128 0.0000  3 Ge 2.35-2.36, 5 Co 2.43-2.53
Co 0.9128 0.6484 0.5000  3 Ge 2.35-2.36, 5 Co 2.43-2.53
Ge 0.2179 0.7821 0.5000  6 Co 2.35-2.36
Ge 0.2821 0.2821 0.0000  6 Co 2.35-2.36
Ge 0.7179 0.7179 0.0000  6 Co 2.35-2.36
Ge 0.7821 0.2179 0.5000  6 Co 2.35-2.36


Q: Which of them is the least stable? A: model a.


Model a:
## HfCo4Ge (PBE)

Data for a relaxed HfCo4Ge crystal.

## Properties
The space group is F-43m (216).

Unit cell a=4.7751 b=4.7751 c=4.7751 alpha=60.00 beta=60.00 gamma=60.00
Closest atoms and distances in Å follow each position.
Element x y z (fractional)
Hf 0.0000 0.0000 0.0000  12 Co 2.80, 4 Ge 2.92
Co 0.3755 0.3755 0.3755  6 Co 2.38-2.40
Co 0.3755 0.3755 0.8735  6 Co 2.38-2.40
Co 0.3755 0.8735 0.3755  6 Co 2.38-2.40
Co 0.8735 0.3755 0.3755  6 Co 2.38-2.40
Ge 0.7500 0.7500 0.7500  12 Co 2.80, 4 Hf 2.92


Model b:
## HfCo4Ge (PBE)

Data for a relaxed HfCo4Ge crystal.

## Properties
The space group is Pmma (51).

Unit cell a=6.9537 b=3.5593 c=6.3663 alpha=90.00 beta=90.00 gamma=90.00
Closest atoms and distances in Å follow each position.
Element x y z (fractional)
Hf 0.2500 0.0000 0.1475  8 Co 2.64-2.84, 1 Ge 2.67
Hf 0.7500 0.0000 0.8525  8 Co 2.64-2.84, 1 Ge 2.67
Co 0.0000 0.0000 0.5000  2 Ge 2.26, 4 Co 2.51
Co 0.0384 0.5000 0.8051  2 Ge 2.36, 2 Co 2.54-2.59
Co 0.2500 0.5000 0.4534  2 Ge 2.49, 8 Co 2.51-2.68, 2 Hf 2.64
Co 0.4616 0.5000 0.8051  2 Ge 2.36, 2 Co 2.54-2.59
Co 0.5000 0.0000 0.5000  2 Ge 2.26, 4 Co 2.51
Co 0.5384 0.5000 0.1949  2 Ge 2.36, 2 Co 2.54-2.59
Co 0.7500 0.5000 0.5466  2 Ge 2.49, 8 Co 2.51-2.68, 2 Hf 2.64
Co 0.9616 0.5000 0.1949  2 Ge 2.36, 2 Co 2.54-2.59
Ge 0.2500 0.0000 0.7280  8 Co 2.26-2.49
Ge 0.7500 0.0000 0.2720  8 Co 2.26-2.49


Q: Which of them is the least stable? A: model b.


Model a:
## HoCo2Ge3 (PBE)

Data for a relaxed HoCo2Ge3 crystal.

## Properties
The space group is Cmcm (63).

Unit cell a=6.0244 b=6.0244 c=5.3352 alpha=90.00 beta=90.00 gamma=77.68
Closest atoms and distances in Å follow each position.
Element x y z (fractional)
Ho 0.1543 0.8457 0.7500  7 Ge 2.86-3.18
Ho 0.8457 0.1543 0.2500  7 Ge 2.86-3.18
Co 0.2907 0.2907 0.0000  6 Ge 2.34-2.60
Co 0.2907 0.2907 0.5000  6 Ge 2.34-2.60
Co 0.7093 0.7093 0.0000  6 Ge 2.34-2.60
Co 0.7093 0.7093 0.5000  6 Ge 2.34-2.60
Ge 0.0352 0.6193 0.2500  4 Co 2.34-2.60, 1 Ge 2.54
Ge 0.3807 0.9648 0.2500  4 Co 2.34-2.60, 1 Ge 2.54
Ge 0.4671 0.5329 0.2500  4 Co 2.39, 2 Ge 2.54
Ge 0.5329 0.4671 0.7500  4 Co 2.39, 2 Ge 2.54
Ge 0.6193 0.0352 0.7500  4 Co 2.34-2.60, 1 Ge 2.54
Ge 0.9648 0.3807 0.7500  4 Co 2.34-2.60, 1 Ge 2.54


Model b:
## HoCo2Ge3 (PBE)

Data for a relaxed HoCo2Ge3 crystal.

## Properties
The space group is C2/m (12).

Unit cell a=8.0757 b=8.0757 c=9.5594 alpha=103.67 beta=103.67 gamma=28.00
Closest atoms and distances in Å follow each position.
Element x y z (fractional)
Ho 0.0000 0.0000 0.0000  6 Co 3.00-3.15, 10 Ge 3.13-3.26
Ho 0.1491 0.1491 0.6964  6 Ge 2.91-3.23, 4 Co 3.14-3.18
Ho 0.8509 0.8509 0.3036  6 Ge 2.91-3.23, 4 Co 3.14-3.18
Co 0.2070 0.2070 0.0822  5 Ge 2.35-2.54
Co 0.3566 0.3566 0.5634  7 Ge 2.35-2.52, 1 Co 2.61
Co 0.4962 0.4962 0.2368  5 Ge 2.31-2.50
Co 0.5038 0.5038 0.7632  5 Ge 2.31-2.50
Co 0.6434 0.6434 0.4366  7 Ge 2.35-2.52, 1 Co 2.61
Co 0.7930 0.7930 0.9178  5 Ge 2.35-2.54
Ge 0.0526 0.0526 0.3520  4 Co 2.31-2.44
Ge 0.2284 0.2284 0.3748  3 Co 2.35-2.52
Ge 0.3568 0.3568 0.0804  4 Co 2.33-2.54, 1 Ge 2.52
Ge 0.3602 0.3602 0.8184  4 Co 2.42-2.51, 1 Ge 2.52
Ge 0.5000 0.5000 0.5000  4 Co 2.47-2.50, 4 Ge 2.66
Ge 0.6398 0.6398 0.1816  4 Co 2.42-2.51, 1 Ge 2.52
Ge 0.6432 0.6432 0.9196  4 Co 2.33-2.54, 1 Ge 2.52
Ge 0.7716 0.7716 0.6252  3 Co 2.35-2.52
Ge 0.9474 0.9474 0.6480  4 Co 2.31-2.44


Q: Which of them is the least stable? A: model a.


Model a:
## Ho2Co3Ge5 (PBE)

Data for a relaxed Ho2Co3Ge5 crystal.

## Properties
The space group is Ibam (72).

Unit cell a=8.1074 b=8.1074 c=8.1074 alpha=106.69 beta=87.95 gamma=138.46
Closest atoms and distances in Å follow each position.
Element x y z (fractional)
Ho 0.1389 0.2322 0.3712  10 Ge 2.87-3.20, 3 Co 3.02-3.13
Ho 0.3611 0.7322 0.0933  10 Ge 2.87-3.20, 3 Co 3.02-3.13
Ho 0.6389 0.2678 0.9067  10 Ge 2.87-3.20, 3 Co 3.02-3.13
Ho 0.8611 0.7678 0.6288  10 Ge 2.87-3.20, 3 Co 3.02-3.13
Co 0.1406 0.8960 0.0366  5 Ge 2.29-2.40
Co 0.2500 0.7500 0.5000  6 Ge 2.41-2.61
Co 0.3594 0.3960 0.7554  5 Ge 2.29-2.40
Co 0.6406 0.6040 0.2446  5 Ge 2.29-2.40
Co 0.7500 0.2500 0.5000  6 Ge 2.41-2.61
Co 0.8594 0.1040 0.9634  5 Ge 2.29-2.40
Ge 0.0267 0.7500 0.2767  3 Co 2.37-2.61, 2 Ge 2.65
Ge 0.0922 0.6668 0.7590  3 Co 2.29-2.41
Ge 0.2500 0.2500 0.0000  4 Co 2.40
Ge 0.4078 0.1668 0.5746  3 Co 2.29-2.41
Ge 0.4733 0.7500 0.7233  3 Co 2.37-2.61, 2 Ge 2.65
Ge 0.5267 0.2500 0.2767  3 Co 2.37-2.61, 2 Ge 2.65
Ge 0.5922 0.8332 0.4254  3 Co 2.29-2.41
Ge 0.7500 0.7500 0.0000  4 Co 2.40
Ge 0.9078 0.3332 0.2410  3 Co 2.29-2.41
Ge 0.9733 0.2500 0.7233  3 Co 2.37-2.61, 2 Ge 2.65


Model b:
## Ho2Co3Ge5 (PBE)

Data for a relaxed Ho2Co3Ge5 crystal.

## Properties
The space group is Cmc2_1 (36).

Unit cell a=12.2464 b=12.2464 c=6.6369 alpha=90.00 beta=90.00 gamma=161.02
Closest atoms and distances in Å follow each position.
Element x y z (fractional)
Ho 0.0236 0.9764 0.5000  3 Co 2.70-2.84, 4 Ge 2.90-2.99
Ho 0.3258 0.6742 0.5110  9 Ge 2.89-3.23, 3 Co 3.04-3.24
Ho 0.6742 0.3258 0.0110  9 Ge 2.89-3.23, 3 Co 3.04-3.24
Ho 0.9764 0.0236 0.0000  3 Co 2.70-2.84, 4 Ge 2.90-2.99
Co 0.1076 0.8924 0.7681  6 Ge 2.39-2.65
Co 0.2791 0.7209 0.0002  7 Ge 2.44-2.63
Co 0.4472 0.5528 0.7176  5 Ge 2.33-2.59
Co 0.5528 0.4472 0.2176  5 Ge 2.33-2.59
Co 0.7209 0.2791 0.5002  7 Ge 2.44-2.63
Co 0.8924 0.1076 0.2681  6 Ge 2.39-2.65
Ge 0.0950 0.9050 0.1314  3 Co 2.33-2.43
Ge 0.2053 0.7947 0.7082  4 Co 2.39-2.63
Ge 0.2122 0.7878 0.2924  3 Co 2.45-2.52
Ge 0.3800 0.6200 0.0133  4 Co 2.44-2.65, 1 Ge 2.73
Ge 0.4505 0.5495 0.3347  4 Co 2.50-2.59, 1 Ge 2.73
Ge 0.5495 0.4505 0.8347  4 Co 2.50-2.59, 1 Ge 2.73
Ge 0.6200 0.3800 0.5133  4 Co 2.44-2.65, 1 Ge 2.73
Ge 0.7878 0.2122 0.7924  3 Co 2.45-2.52
Ge 0.7947 0.2053 0.2082  4 Co 2.39-2.63
Ge 0.9050 0.0950 0.6314  3 Co 2.33-2.43


Q: Which of them is the least stable? A: model b.